Entry 1:
This record from the Alexandria database describes a geometry-optimized LiY2In structure. The functional is PBE.

a = 10.497 Å, b = 10.497 Å, c = 10.497 Å
α = 19.71°, β = 19.71°, γ = 19.71°
Fractional coordinates of all 4 atoms:
Li  0.000  0.000  0.000
Y  0.247  0.247  0.247
Y  0.753  0.753  0.753
In  0.500  0.500  0.500

SG: No. 166
magnetic moment: 0.5 μB/f.u.
calculated formation energy: -0.051 eV per atom
calculated total energy: -17.79 eV/cell

***

Entry 2:
This record from the Alexandria database describes a geometry-optimized Pm3YPu3S8 structure. The functional is PBE.

a = 7.990 Å, b = 7.990 Å, c = 7.990 Å
α = 59.80°, β = 59.80°, γ = 59.80°
Fractional coordinates of all 15 atoms:
Pm  0.000  0.500  0.500
Pm  0.500  0.000  0.500
Pm  0.500  0.500  0.000
Y  0.500  0.500  0.500
Pu  0.000  0.000  0.500
Pu  0.000  0.500  0.000
Pu  0.500  0.000  0.000
S  0.247  0.247  0.247
S  0.251  0.746  0.746
S  0.254  0.254  0.749
S  0.254  0.749  0.254
S  0.746  0.251  0.746
S  0.746  0.746  0.251
S  0.749  0.254  0.254
S  0.753  0.753  0.753

SG: No. 166
formation energy from raw total energies: -1.945 eV per atom
magnetic moment: 16.9 μB/f.u.
calculated total energy: -125.90 eV/cell